Crystalline TlCrBrO4 at its relaxed geometry, computed with PBE with a Hubbard U.

abc: 5.9255 5.9255 9.4954
angles: 112.66 112.66 75.12
Sites, in units of the cell vectors:
Tl (0.0490, 0.0490, 0.2278)
Tl (0.9510, 0.9510, 0.7722)
Cr (0.3057, 0.3057, 0.6646)
Cr (0.6943, 0.6943, 0.3354)
Br (0.2244, 0.2244, 0.0574)
Br (0.7756, 0.7756, 0.9426)
O (0.1331, 0.1331, 0.6715)
O (0.2340, 0.6029, 0.7584)
O (0.2643, 0.2643, 0.4711)
O (0.3971, 0.7660, 0.2416)
O (0.6029, 0.2340, 0.7584)
O (0.7357, 0.7357, 0.5289)
O (0.7660, 0.3971, 0.2416)
O (0.8669, 0.8669, 0.3285)

Properties
The theoretical density is 4.72 Mg/m³. As for the volume: 20.1 Å³/atom. Its space group is C2/m (12). For the final energy, the calculation gives -5.350 eV per atom. Its spin magnetization is 0.00 μB per formula unit.